No. 1
The following is a PBE calculation of a relaxed YZn2In crystal, from Alexandria via LeMat-Bulk.

Cell: 9.240 9.240 9.240 Å, 21.71 21.71 21.71°
Sites, in units of the cell vectors:
Zn: 0.997 0.997 0.997
Zn: 0.503 0.503 0.503
Y: 0.750 0.750 0.750
In: 0.250 0.250 0.250

formation energy from the elements	0.033	eV per formula unit
ρ	5.87	Mg/m³
SG	R-3m (166)

***

No. 2
The following is a PBE calculation of a relaxed YZnIn2 crystal, from Alexandria via LeMat-Bulk.

Cell: 3.587 3.587 7.486 Å, 90.00 90.00 92.33°
Site moments in Bohr magnetons follow the coordinates.
Sites, in units of the cell vectors:
Y: 0.000 0.000 0.523  0.21
Zn: 0.500 0.500 0.765  0.01
In: 0.500 0.500 0.237  0.01
In: 0.000 0.000 0.976  0.01

formation energy from the elements	-0.768	eV per formula unit
ρ	6.63	Mg/m³
SG	Cmm2 (35)

***

No. 3
The following is a PBE calculation of a relaxed YZn2In crystal, from Alexandria via LeMat-Bulk.

Cell: 4.629 3.442 5.593 Å, 89.98 90.00 90.00°
Sites, in units of the cell vectors:
Y: 0.500 0.750 0.750
Zn: 0.000 0.251 0.521
Zn: 0.000 0.249 0.979
In: 0.500 0.250 0.250

formation energy from the elements	-0.953	eV per formula unit
ρ	6.23	Mg/m³
SG	Pmmm (47)

***

No. 4
The following is a PBE calculation of a relaxed Y6ZnIn5 crystal, from Alexandria via LeMat-Bulk.

Cell: 5.301 7.424 8.393 Å, 90.00 71.47 90.00°
Sites, in units of the cell vectors:
In: 0.000 0.500 0.000
In: 0.332 0.500 0.336
In: 0.334 0.000 0.332
In: 0.666 0.000 0.668
In: 0.668 0.500 0.664
Y: 0.837 0.246 0.326
Y: 0.500 0.757 0.000
Y: 0.837 0.754 0.326
Y: 0.163 0.246 0.674
Y: 0.500 0.243 0.000
Y: 0.163 0.754 0.674
Zn: 0.000 0.000 0.000

formation energy from the elements	-5.761	eV per formula unit
ρ	6.22	Mg/m³
SG	P2/m (10)

***

No. 5
The following is a PBE calculation of a relaxed Y3Zn8In3 crystal, from Alexandria via LeMat-Bulk.

Cell: 4.353 8.451 8.451 Å, 71.60 75.07 75.07°
Sites, in units of the cell vectors:
Zn: 0.345 0.919 0.391
Zn: 0.166 0.210 0.458
Zn: 0.655 0.609 0.081
Zn: 0.834 0.790 0.542
Zn: 0.655 0.081 0.609
Zn: 0.834 0.542 0.790
Zn: 0.345 0.391 0.919
Zn: 0.166 0.458 0.210
In: 0.000 0.782 0.218
In: 0.000 0.218 0.782
In: 0.500 0.000 0.000
Y: 0.500 0.500 0.500
Y: 0.197 0.803 0.803
Y: 0.803 0.197 0.197

formation energy from the elements	-4.695	eV per formula unit
ρ	6.73	Mg/m³
SG	Immm (71)

***

No. 6
The following is a PBE calculation of a relaxed Y2Zn2In crystal, from Alexandria via LeMat-Bulk.

Cell: 5.665 5.665 5.623 Å, 59.75 59.75 90.00°
Sites, in units of the cell vectors:
Y: 0.250 0.750 0.500
Y: 0.750 0.250 0.500
Zn: 0.353 0.353 0.294
Zn: 0.647 0.647 0.706
In: 0.000 0.000 0.000

formation energy from the elements	-0.427	eV per formula unit
ρ	5.55	Mg/m³
SG	I4/mmm (139)

***

No. 7
The following is a PBE calculation of a relaxed YZnIn crystal, from Alexandria via LeMat-Bulk.

Cell: 5.373 5.373 5.373 Å, 141.89 129.49 64.99°
Sites, in units of the cell vectors:
Y: 0.666 0.666 0.000
In: 0.006 0.006 0.000
Zn: 0.327 0.327 0.000

formation energy from the elements	-0.417	eV per formula unit
ρ	6.13	Mg/m³
SG	Imm2 (44)

***

No. 8
The following is a PBE calculation of a relaxed Y2ZnIn2 crystal, from Alexandria via LeMat-Bulk.

Cell: 7.252 7.252 4.832 Å, 90.00 90.00 90.00°
Sites, in units of the cell vectors:
Y: 0.668 0.832 0.500
Y: 0.832 0.332 0.500
Y: 0.332 0.168 0.500
Y: 0.168 0.668 0.500
Zn: 0.500 0.500 0.000
Zn: 0.000 0.000 0.000
In: 0.141 0.359 0.000
In: 0.359 0.859 0.000
In: 0.859 0.641 0.000
In: 0.641 0.141 0.000

energy above the lowest structure with this stoichiometry	0.0625	eV per atom
formation energy from the elements	-1.937	eV per formula unit
ρ	6.18	Mg/m³
SG	P4/mbm (127)

***

No. 9
The following is a PBE calculation of a relaxed Y4Zn2In crystal, from Alexandria via LeMat-Bulk.

Cell: 5.088 5.088 8.699 Å, 72.99 72.99 60.00°
Sites, in units of the cell vectors:
Y: 0.132 0.132 0.605
Y: 0.615 0.615 0.156
Y: 0.868 0.868 0.395
Y: 0.385 0.385 0.844
Zn: 0.746 0.746 0.761
Zn: 0.254 0.254 0.239
In: 0.000 0.000 0.000

formation energy from the elements	-1.695	eV per formula unit
ρ	5.44	Mg/m³
SG	R-3m (166)

***

No. 10
The following is a PBE calculation of a relaxed YZn2In crystal, from Alexandria via LeMat-Bulk.

Cell: 4.384 3.529 5.817 Å, 72.78 90.00 90.00°
Sites, in units of the cell vectors:
Y: 0.500 0.786 0.797
Zn: 0.000 0.185 0.005
Zn: 0.500 0.065 0.251
In: 0.000 0.464 0.447

formation energy from the elements	-0.928	eV per formula unit
ρ	6.46	Mg/m³
SG	Pm (6)

***

No. 11
The following is a PBE calculation of a relaxed YZnIn crystal, from Alexandria via LeMat-Bulk.

Cell: 4.163 6.038 6.736 Å, 63.28 108.00 90.01°
Sites, in units of the cell vectors:
In: 0.960 0.794 0.137
In: 0.341 0.616 0.899
Y: 0.663 0.546 0.544
Y: 0.040 0.199 0.299
Zn: 0.718 0.000 0.654
Zn: 0.322 0.149 0.860

formation energy from the elements	-1.010	eV per formula unit
ρ	6.30	Mg/m³
SG	Cm (8)

***

No. 12
The following is a PBE calculation of a relaxed YZn2In crystal, from Alexandria via LeMat-Bulk.

Cell: 4.490 4.490 10.107 Å, 77.17 77.17 90.00°
Sites, in units of the cell vectors:
Y: 0.500 0.500 0.000
Y: 0.250 0.750 0.500
Zn: 0.375 0.295 0.750
Zn: 0.875 0.955 0.750
Zn: 0.705 0.125 0.250
Zn: 0.045 0.625 0.250
In: 0.000 0.000 0.000
In: 0.750 0.250 0.500

formation energy from the elements	-0.037	eV per formula unit
ρ	5.74	Mg/m³
SG	I-42d (122)

***

No. 13
The following is a PBE calculation of a relaxed YZnIn2 crystal, from Alexandria via LeMat-Bulk.

Cell: 4.674 3.427 6.065 Å, 89.56 90.00 90.00°
Sites, in units of the cell vectors:
In: 0.000 0.740 0.499
In: 0.000 0.760 0.001
Zn: 0.500 0.750 0.750
Y: 0.500 0.250 0.250

formation energy from the elements	-0.885	eV per formula unit
ρ	6.56	Mg/m³
SG	P2/m (10)

***

No. 14
The following is a PBE calculation of a relaxed Y4Zn2In5 crystal, from Alexandria via LeMat-Bulk.

Cell: 3.623 7.724 9.774 Å, 94.36 90.00 90.00°
Sites, in units of the cell vectors:
In: 0.000 0.441 0.686
In: 0.000 0.173 0.159
In: 0.000 0.500 0.000
In: 0.000 0.559 0.314
In: 0.000 0.827 0.841
Zn: 0.000 0.064 0.628
Zn: 0.000 0.936 0.372
Y: 0.500 0.748 0.563
Y: 0.500 0.252 0.437
Y: 0.500 0.179 0.872
Y: 0.500 0.821 0.128

formation energy from the elements	-4.603	eV per formula unit
ρ	6.46	Mg/m³
SG	P2/m (10)

***

No. 15
The following is a PBE calculation of a relaxed YZn2In crystal, from Alexandria via LeMat-Bulk.

Cell: 6.070 6.070 6.070 Å, 41.47 41.47 41.47°
Sites, in units of the cell vectors:
Zn: 0.282 0.282 0.282
Zn: 0.958 0.958 0.958
Y: 0.735 0.735 0.735
In: 0.525 0.525 0.525

formation energy from the elements	-1.103	eV per formula unit
ρ	6.27	Mg/m³
SG	R3m (160)

***

No. 16
The following is a PBE calculation of a relaxed YZnIn2 crystal, from Alexandria via LeMat-Bulk.

Cell: 5.683 5.683 5.683 Å, 133.66 133.58 67.68°
Sites, in units of the cell vectors:
Y: 0.499 0.499 0.000
In: 0.001 0.001 0.000
In: 0.750 0.250 0.500
Zn: 0.250 0.750 0.500

formation energy from the elements	-1.043	eV per formula unit
ρ	6.74	Mg/m³
SG	Imm2 (44)

***

No. 17
The following is a PBE calculation of a relaxed Y6Zn5In crystal, from Alexandria via LeMat-Bulk.

Cell: 5.098 7.270 8.853 Å, 114.24 106.74 90.00°
Sites, in units of the cell vectors:
Y: 0.171 0.427 0.341
Y: 0.500 0.739 0.000
Y: 0.171 0.915 0.341
Y: 0.829 0.573 0.659
Y: 0.829 0.085 0.659
Y: 0.500 0.261 0.000
Zn: 0.668 0.668 0.335
Zn: 0.000 0.500 0.000
Zn: 0.332 0.332 0.665
Zn: 0.335 0.835 0.670
Zn: 0.665 0.165 0.330
In: 0.000 0.000 0.000

formation energy from the elements	-4.598	eV per formula unit
ρ	5.71	Mg/m³
SG	Immm (71)

***

No. 18
The following is a PBE calculation of a relaxed YZrZnIn crystal, from Alexandria via LeMat-Bulk.

Cell: 5.030 5.030 5.030 Å, 60.00 60.00 60.00°
Sites, in units of the cell vectors:
Zn: 0.000 0.000 0.000
Y: 0.750 0.750 0.750
In: 0.500 0.500 0.500
Zr: 0.250 0.250 0.250

formation energy from the elements	-1.130	eV per formula unit
ρ	6.65	Mg/m³
SG	F-43m (216)

***

No. 19
The following is a PBE calculation of a relaxed YZr2In crystal, from Alexandria via LeMat-Bulk.

Cell: 5.476 3.237 5.674 Å, 83.40 90.00 90.00°
Sites, in units of the cell vectors:
Y: 0.500 0.750 0.750
In: 0.500 0.250 0.250
Zr: 0.000 0.437 0.487
Zr: 0.000 0.063 0.013

energy above the lowest structure with this stoichiometry	0.1620	eV per atom
formation energy from the elements	-0.293	eV per formula unit
ρ	6.42	Mg/m³
SG	P2/m (10)

***

No. 20
The following is a PBE calculation of a relaxed YZr2In crystal, from Alexandria via LeMat-Bulk.

Cell: 3.241 3.241 9.469 Å, 90.00 90.00 90.00°
Sites, in units of the cell vectors:
In: 0.000 0.000 0.488
Zr: 0.500 0.500 0.251
Zr: 0.000 0.000 0.018
Y: 0.500 0.500 0.743

energy above the lowest structure with this stoichiometry	0.0817	eV per atom
formation energy from the elements	-0.614	eV per formula unit
ρ	6.45	Mg/m³
SG	P4mm (99)